Cr5Mo11 after structural relaxation, computed with PBE.

Properties
E_form: 0.07 eV per atom
Crystal system: monoclinic
Calculated total energy: -166.1 eV/cell

Cell lengths 6.1664, 6.1704, 6.1752 Å; angles 90.00, 90.21, 90.00 degrees
Space group Pm (No. 6)
Unique sites:
1 Cr 0.0000 0.0000 0.0000 x1
2 Cr 0.9998 0.0000 0.4897 x1
3 Cr 0.5052 0.5000 0.4925 x1
4 Cr 0.7548 0.2470 0.2458 x2
5 Mo 0.2494 0.2474 0.2467 x2
6 Mo 0.2509 0.2477 0.7424 x2
7 Mo 0.5075 0.5000 0.0017 x1
8 Mo 0.5094 0.0000 0.4897 x1
9 Mo 0.5096 0.0000 0.9992 x1
10 Mo 0.7553 0.2478 0.7415 x2
11 Mo 0.9962 0.5000 0.4896 x1
12 Mo 0.9985 0.5000 0.9987 x1

Na3Tl3ZnBr8 after structural relaxation, computed with PBE.

Properties
Crystal system: trigonal
Calculated total energy: -127.1 eV/cell
Uncorrected formation energy: -1.11 eV/atom

Cell lengths 8.6638, 8.6638, 23.1792 Å; angles 90.00, 90.00, 120.00 degrees
Space group R-3m (No. 166, hexagonal axes)
Unique sites:
1 Na 0.0000 0.5000 0.0000 x9
2 Tl 0.0000 0.5000 0.5000 x9
3 Zn 0.0000 0.0000 0.0000 x3
4 Br 0.0000 0.0000 0.2619 x6
5 Br 0.0359 0.5179 0.7320 x18

ZnIn2Ga after structural relaxation, computed with PBE.

Properties
E_form: 0.07 eV per atom
Crystal system: monoclinic
Calculated total energy: -19.0 eV/cell

Cell lengths 7.7066, 4.2998, 6.1752 Å; angles 90.00, 112.48, 90.00 degrees
Space group Cm (No. 8)
Unique sites:
1 Zn 0.0000 0.0000 0.0000 x2
2 In 0.0811 0.5000 0.7306 x2
3 In 0.2889 0.5000 0.3883 x2
4 Ga 0.3613 0.0000 0.1014 x2

PmPuNiSb after structural relaxation, computed with PBE.

Properties
Crystal system: cubic
Calculated total energy: -115.8 eV/cell
Uncorrected formation energy: 0.01 eV/atom

Cell lengths 7.1661, 7.1661, 7.1661 Å; angles 90.00, 90.00, 90.00 degrees
Space group F-43m (No. 216)
Unique sites:
1 Pm 0.0000 0.0000 0.0000 x4
2 Pu 0.2500 0.2500 0.7500 x4
3 Ni 0.2500 0.2500 0.2500 x4
4 Sb 0.0000 0.0000 0.5000 x4

ZrNb2BiN after structural relaxation, computed with PBE.

Properties
Crystal system: tetragonal
Calculated total energy: -41.8 eV/cell
Uncorrected formation energy: -0.19 eV/atom

Cell lengths 4.2168, 4.2168, 5.3120 Å; angles 90.00, 90.00, 90.00 degrees
Space group P4/mmm (No. 123)
Unique sites:
1 Zr 0.0000 0.0000 0.0000 x1
2 Nb 0.0000 0.5000 0.5000 x2
3 Bi 0.5000 0.5000 0.0000 x1
4 N 0.5000 0.5000 0.5000 x1

LiTbPmDy after structural relaxation, computed with PBE.

Properties
E_form: 0.20 eV per atom
Crystal system: cubic
Calculated total energy: -60.3 eV/cell

Cell lengths 7.8284, 7.8284, 7.8284 Å; angles 90.00, 90.00, 90.00 degrees
Space group F-43m (No. 216)
Unique sites:
1 Li 0.0000 0.0000 0.0000 x4
2 Tb 0.2500 0.2500 0.2500 x4
3 Pm 0.0000 0.0000 0.5000 x4
4 Dy 0.2500 0.2500 0.7500 x4

What did the third record say?
ZnIn2Ga after structural relaxation, computed with PBE.

Properties
E_form: 0.07 eV per atom
Crystal system: monoclinic
Calculated total energy: -19.0 eV/cell

Cell lengths 7.7066, 4.2998, 6.1752 Å; angles 90.00, 112.48, 90.00 degrees
Space group Cm (No. 8)
Unique sites:
1 Zn 0.0000 0.0000 0.0000 x2
2 In 0.0811 0.5000 0.7306 x2
3 In 0.2889 0.5000 0.3883 x2
4 Ga 0.3613 0.0000 0.1014 x2